(1)
The following is a PBE calculation of a relaxed structure of CaYAlAg, from Alexandria via LeMat-Bulk.

Output
The total energy comes out at -4.067 eV/atom. The magnetic moment comes out at 0.000 μB/atom.

Structure (CIF):
```
data_CaYAlAg
_cell_length_a 7.3451
_cell_length_b 7.3451
_cell_length_c 7.3451
_cell_angle_alpha 90.00
_cell_angle_beta 90.00
_cell_angle_gamma 90.00
_space_group_name_H-M_alt 'F -4 3 m'
_space_group_IT_number 216
_space_group_name_Hall 'F -4 2 3'
loop_
_atom_site_label
_atom_site_fract_x
_atom_site_fract_y
_atom_site_fract_z
_atom_site_occupancy
Ca1 0.0000 0.0000 0.0000 1
Y1 0.0000 0.0000 0.5000 1
Al1 0.2500 0.2500 0.2500 1
Ag1 0.2500 0.2500 0.7500 1
```

(2)
The following is a PBE calculation of a relaxed structure of BaV2PtS8, from Alexandria via LeMat-Bulk.

Output
The total energy comes out at -5.662 eV/atom. The magnetic moment comes out at 0.000 μB/atom. The raw formation energy comes out at -8.72 eV/f.u.

Structure (CIF):
```
data_BaV2PtS8
_cell_length_a 6.0043
_cell_length_b 6.0043
_cell_length_c 26.3213
_cell_angle_alpha 90.00
_cell_angle_beta 90.00
_cell_angle_gamma 120.00
_space_group_name_H-M_alt 'R -3'
_space_group_IT_number 148
_space_group_name_Hall '-R 3'
loop_
_atom_site_label
_atom_site_fract_x
_atom_site_fract_y
_atom_site_fract_z
_atom_site_occupancy
Ba1 0.0000 0.0000 0.0000 1
V1 0.0000 0.0000 0.2431 1
Pt1 0.0000 0.0000 0.5000 1
S1 0.0000 0.0000 0.3238 1
S2 0.0069 0.3528 0.2213 1
```

(3)
The following is a PBE calculation of a relaxed structure of RhC3, from Alexandria via LeMat-Bulk.

Output
The total energy comes out at -6.041 eV/atom. The magnetic moment comes out at 0.000 μB/atom. Its energy relative to the lowest polymorph listed for this composition is 2146.8 meV/atom.

Structure (CIF):
```
data_RhC3
_cell_length_a 4.1171
_cell_length_b 4.1171
_cell_length_c 4.1171
_cell_angle_alpha 90.00
_cell_angle_beta 90.00
_cell_angle_gamma 90.00
_space_group_name_H-M_alt 'P m -3 n'
_space_group_IT_number 223
_space_group_name_Hall '-P 4n 2 3'
loop_
_atom_site_label
_atom_site_fract_x
_atom_site_fract_y
_atom_site_fract_z
_atom_site_occupancy
Rh1 0.0000 0.0000 0.0000 1
C1 0.0000 0.2500 0.5000 1
```

(4)
The following is a PBE calculation of a relaxed structure of YCrP2, from Alexandria via LeMat-Bulk.

Output
The total energy comes out at -6.619 eV/atom. The magnetic moment comes out at 0.758 μB/atom. Its energy relative to the lowest polymorph listed for this composition is 1014.5 meV/atom.

Structure (CIF):
```
data_YCrP2
_cell_length_a 6.5474
_cell_length_b 6.5474
_cell_length_c 6.5474
_cell_angle_alpha 90.00
_cell_angle_beta 90.00
_cell_angle_gamma 90.00
_space_group_name_H-M_alt 'F -4 3 m'
_space_group_IT_number 216
_space_group_name_Hall 'F -4 2 3'
loop_
_atom_site_label
_atom_site_fract_x
_atom_site_fract_y
_atom_site_fract_z
_atom_site_occupancy
Y1 0.0000 0.0000 0.0000 1
Cr1 0.2500 0.2500 0.2500 1
P1 0.0000 0.0000 0.5000 1
P2 0.2500 0.2500 0.7500 1
```

Question: What is the formula in the fourth record?
Answer: YCrP2